[1]
VASP calculation (PBE-GGA) on a geometry-optimized Tb3TePd12 structure.

The total energy is -5.656 eV per atom. The energy relative to the elements, uncorrected comes out at -697 meV per atom. The total moment is 0.0 Bohr magnetons per cell.

The structure belongs to space group P4/mmm (No. 123); the cell edges are 4.119, 4.119 and 16.488 Å and the angles 90.00°, 90.00° and 90.00°. The inequivalent atoms are Tb at (0.000, 0.000, 0.000), Tb at (0.000, 0.000, 0.249), Te at (0.000, 0.000, 0.500), Pd at (0.000, 0.500, 0.126), Pd at (0.000, 0.500, 0.379), Pd at (0.500, 0.500, 0.000), Pd at (0.500, 0.500, 0.255) and Pd at (0.500, 0.500, 0.500).


[2]
VASP calculation (PBE-GGA) on a geometry-optimized HfUHg structure.

The energy of formation comes out at 95 kJ/mol of formula units. The total energy is -6.854 eV per atom. The total moment is 9.7 Bohr magnetons per cell.

The structure belongs to space group R-3m (No. 166, hexagonal axes); the cell edges are 4.7198, 4.7198 and 23.1137 Å and the angles 90.00°, 90.00° and 120.00°. The inequivalent atoms are Hf at (0.0000, 0.0000, 0.0684), U at (0.0000, 0.0000, 0.3367) and Hg at (0.0000, 0.0000, 0.2012).